Here is a relaxed structure of KInAsBr2 from Alexandria via LeMat-Bulk. Energies are from PBE.

abc: 6.1455 6.1455 6.1380
angles: 90.00 90.00 90.00
Last column: nearest neighbours and their distance in Å.
Fractional coordinates of all 5 atoms:
K (0.0000, 0.0000, 0.0000)  2 As 3.07, 4 Br 3.07
In (0.5000, 0.5000, 0.5000)  8 Br 4.34, 4 As 4.35
As (0.0000, 0.0000, 0.5000)  2 K 3.07
Br (0.0000, 0.5000, 0.0000)  2 K 3.07
Br (0.5000, 0.0000, 0.0000)  2 K 3.07

## Properties
Symmetry: No. 123

Here is a relaxed structure of LaInAs2Br from Alexandria via LeMat-Bulk. Energies are from PBE.

abc: 5.1963 5.1963 5.4118
angles: 90.00 90.00 90.00
Last column: nearest neighbours and their distance in Å.
Fractional coordinates of all 5 atoms:
La (0.0000, 0.0000, 0.0000)  4 Br 3.67, 8 As 3.75
In (0.5000, 0.5000, 0.5000)  4 As 2.60, 2 Br 2.71
As (0.0000, 0.5000, 0.5000)  2 In 2.60
As (0.5000, 0.0000, 0.5000)  2 In 2.60
Br (0.5000, 0.5000, 0.0000)  2 In 2.71

## Properties
Symmetry: No. 123

Here is a relaxed structure of LaInAs2Br from Alexandria via LeMat-Bulk. Energies are from PBE.

abc: 5.7665 5.7665 5.8675
angles: 90.00 90.00 90.00
Last column: nearest neighbours and their distance in Å.
Fractional coordinates of all 5 atoms:
La (0.0000, 0.0000, 0.0000)  4 As 2.88, 2 Br 2.93
In (0.5000, 0.5000, 0.5000)  4 Br 4.08, 8 As 4.11
As (0.0000, 0.5000, 0.0000)  2 La 2.88
As (0.5000, 0.0000, 0.0000)  2 La 2.88
Br (0.0000, 0.0000, 0.5000)  2 La 2.93

## Properties
Symmetry: No. 123

Here is a relaxed structure of LiInAsBr2 from Alexandria via LeMat-Bulk. Energies are from PBE.

abc: 5.7124 5.7124 5.3112
angles: 90.00 90.00 90.00
Last column: nearest neighbours and their distance in Å.
Fractional coordinates of all 5 atoms:
Li (0.0000, 0.0000, 0.0000)  8 Br 3.90, 4 As 4.04
In (0.5000, 0.5000, 0.5000)  2 As 2.66, 4 Br 2.86
As (0.5000, 0.5000, 0.0000)  2 In 2.66
Br (0.0000, 0.5000, 0.5000)  2 In 2.86
Br (0.5000, 0.0000, 0.5000)  2 In 2.86

## Properties
Symmetry: No. 123

Here is a relaxed structure of MgInAsBr2 from Alexandria via LeMat-Bulk. Energies are from PBE.

abc: 5.4169 5.4169 5.4684
angles: 90.00 90.00 90.00
Last column: nearest neighbours and their distance in Å.
Fractional coordinates of all 5 atoms:
Mg (0.0000, 0.0000, 0.0000)  4 Br 2.71, 2 As 2.73
In (0.5000, 0.5000, 0.5000)  4 As 3.83, 8 Br 3.85
As (0.0000, 0.0000, 0.5000)  2 Mg 2.73
Br (0.0000, 0.5000, 0.0000)  2 Mg 2.71
Br (0.5000, 0.0000, 0.0000)  2 Mg 2.71

## Properties
Symmetry: No. 123

Here is a relaxed structure of MgInAs2Br from Alexandria via LeMat-Bulk. Energies are from PBE.

abc: 5.1118 5.1118 5.4201
angles: 90.00 90.00 90.00
Last column: nearest neighbours and their distance in Å.
Fractional coordinates of all 5 atoms:
Mg (0.0000, 0.0000, 0.0000)  4 As 2.56, 2 Br 2.71
In (0.5000, 0.5000, 0.5000)  4 Br 3.61, 8 As 3.73
As (0.0000, 0.5000, 0.0000)  2 Mg 2.56
As (0.5000, 0.0000, 0.0000)  2 Mg 2.56
Br (0.0000, 0.0000, 0.5000)  2 Mg 2.71

## Properties
Symmetry: No. 123

Here is a relaxed structure of MnInAsBr2 from Alexandria via LeMat-Bulk. Energies are from PBE.

abc: 5.4204 5.4204 4.7739
angles: 90.00 90.00 90.00
Last column: nearest neighbours and their distance in Å.
Fractional coordinates of all 5 atoms:
Mn (0.0000, 0.0000, 0.0000)  2 As 2.39
In (0.5000, 0.5000, 0.5000)  8 Br 3.61, 4 As 3.83
As (0.0000, 0.0000, 0.5000)  2 Mn 2.39
Br (0.0000, 0.5000, 0.0000)  2 Mn 2.71
Br (0.5000, 0.0000, 0.0000)  2 Mn 2.71

## Properties
Symmetry: No. 123

Here is a relaxed structure of MnInAsBr2 from Alexandria via LeMat-Bulk. Energies are from PBE.

abc: 5.4122 5.4122 5.4650
angles: 90.00 90.00 90.00
Last column: nearest neighbours and their distance in Å.
Fractional coordinates of all 5 atoms:
Mn (0.0000, 0.0000, 0.0000)  4 As 3.83, 8 Br 3.85
In (0.5000, 0.5000, 0.5000)  4 Br 2.71, 2 As 2.73
As (0.5000, 0.5000, 0.0000)  2 In 2.73
Br (0.0000, 0.5000, 0.5000)  2 In 2.71
Br (0.5000, 0.0000, 0.5000)  2 In 2.71

## Properties
Symmetry: No. 123

Here is a relaxed structure of InMoAsBr2 from Alexandria via LeMat-Bulk. Energies are from PBE.

abc: 5.4168 5.4168 4.8875
angles: 90.00 90.00 90.00
Last column: nearest neighbours and their distance in Å.
Fractional coordinates of all 5 atoms:
In (0.0000, 0.0000, 0.0000)  8 Br 3.65, 4 As 3.83
Mo (0.5000, 0.5000, 0.5000)  2 As 2.44, 4 Br 2.71
As (0.5000, 0.5000, 0.0000)  2 Mo 2.44
Br (0.0000, 0.5000, 0.5000)  2 Mo 2.71
Br (0.5000, 0.0000, 0.5000)  2 Mo 2.71

## Properties
Symmetry: No. 123

Here is a relaxed structure of InAsBr2N from Alexandria via LeMat-Bulk. Energies are from PBE.

abc: 6.1350 6.1350 3.6766
angles: 90.00 90.00 90.00
Last column: nearest neighbours and their distance in Å.
Fractional coordinates of all 5 atoms:
In (0.0000, 0.0000, 0.0000)  8 Br 3.58, 2 In 3.68
As (0.5000, 0.5000, 0.0000)  2 N 1.84
Br (0.0000, 0.5000, 0.5000)  2 N 3.07
Br (0.5000, 0.0000, 0.5000)  2 N 3.07
N (0.5000, 0.5000, 0.5000)  2 As 1.84

## Properties
Symmetry: No. 123

Here is a relaxed structure of InAsBr2N from Alexandria via LeMat-Bulk. Energies are from PBE.

abc: 5.6129 5.6129 5.4471
angles: 90.00 90.00 90.00
Last column: nearest neighbours and their distance in Å.
Fractional coordinates of all 5 atoms:
In (0.0000, 0.0000, 0.0000)  2 As 2.72, 4 Br 2.81
As (0.0000, 0.0000, 0.5000)  2 In 2.72
Br (0.0000, 0.5000, 0.0000)  2 In 2.81
Br (0.5000, 0.0000, 0.0000)  2 In 2.81
N (0.5000, 0.5000, 0.5000)  8 Br 3.91, 4 As 3.97

## Properties
Symmetry: No. 123

Here is a relaxed structure of NaInAsBr2 from Alexandria via LeMat-Bulk. Energies are from PBE.

abc: 5.7500 5.7500 5.3202
angles: 90.00 90.00 90.00
Last column: nearest neighbours and their distance in Å.
Fractional coordinates of all 5 atoms:
Na (0.0000, 0.0000, 0.0000)  8 Br 3.92, 4 As 4.07
In (0.5000, 0.5000, 0.5000)  2 As 2.66, 4 Br 2.88
As (0.5000, 0.5000, 0.0000)  2 In 2.66
Br (0.0000, 0.5000, 0.5000)  2 In 2.88
Br (0.5000, 0.0000, 0.5000)  2 In 2.88

## Properties
Symmetry: No. 123

Here is a relaxed structure of NaInAsBr2 from Alexandria via LeMat-Bulk. Energies are from PBE.

abc: 5.5970 5.5970 5.6299
angles: 90.00 90.00 90.00
Last column: nearest neighbours and their distance in Å.
Fractional coordinates of all 5 atoms:
Na (0.0000, 0.0000, 0.0000)  4 Br 2.80, 2 As 2.81
In (0.5000, 0.5000, 0.5000)  4 As 3.96, 8 Br 3.97
As (0.0000, 0.0000, 0.5000)  2 Na 2.81
Br (0.0000, 0.5000, 0.0000)  2 Na 2.80
Br (0.5000, 0.0000, 0.0000)  2 Na 2.80

## Properties
Symmetry: No. 123

Here is a relaxed structure of InNi2AsBr from Alexandria via LeMat-Bulk. Energies are from PBE.

abc: 4.4667 4.4667 5.9100
angles: 90.00 90.00 90.00
Last column: nearest neighbours and their distance in Å.
Fractional coordinates of all 5 atoms:
In (0.0000, 0.0000, 0.0000)  4 Br 3.16
Ni (0.0000, 0.5000, 0.5000)  2 As 2.23
Ni (0.5000, 0.0000, 0.5000)  2 As 2.23
As (0.5000, 0.5000, 0.5000)  4 Ni 2.23
Br (0.5000, 0.5000, 0.0000)  2 As 2.96, 4 In 3.16

## Properties
Symmetry: No. 123

Here is a relaxed structure of InAs2BrO from Alexandria via LeMat-Bulk. Energies are from PBE.

abc: 4.2289 4.2289 6.6532
angles: 90.00 90.00 90.00
Last column: nearest neighbours and their distance in Å.
Fractional coordinates of all 5 atoms:
In (0.0000, 0.0000, 0.0000)  4 Br 2.99
As (0.0000, 0.5000, 0.5000)  2 O 2.11
As (0.5000, 0.0000, 0.5000)  2 O 2.11
Br (0.5000, 0.5000, 0.0000)  4 In 2.99, 2 O 3.33
O (0.5000, 0.5000, 0.5000)  4 As 2.11

## Properties
Symmetry: No. 123

Here is a relaxed structure of InAs2BrO from Alexandria via LeMat-Bulk. Energies are from PBE.

abc: 5.3261 5.3261 5.6391
angles: 90.00 90.00 90.00
Last column: nearest neighbours and their distance in Å.
Fractional coordinates of all 5 atoms:
In (0.0000, 0.0000, 0.0000)  4 As 2.66, 2 Br 2.82
As (0.0000, 0.5000, 0.0000)  2 In 2.66
As (0.5000, 0.0000, 0.0000)  2 In 2.66
Br (0.0000, 0.0000, 0.5000)  2 In 2.82
O (0.5000, 0.5000, 0.5000)  4 Br 3.77, 8 As 3.88

## Properties
Symmetry: No. 123

Here is a relaxed structure of InAs2OsBr from Alexandria via LeMat-Bulk. Energies are from PBE.

abc: 4.7456 4.7456 5.7561
angles: 90.00 90.00 90.00
Last column: nearest neighbours and their distance in Å.
Fractional coordinates of all 5 atoms:
In (0.0000, 0.0000, 0.0000)  4 Br 3.36, 8 As 3.73
As (0.0000, 0.5000, 0.5000)  2 Os 2.37
As (0.5000, 0.0000, 0.5000)  2 Os 2.37
Os (0.5000, 0.5000, 0.5000)  4 As 2.37
Br (0.5000, 0.5000, 0.0000)  2 Os 2.88

## Properties
Symmetry: No. 123

Here is a relaxed structure of InAs2PBr from Alexandria via LeMat-Bulk. Energies are from PBE.

abc: 4.6420 4.6420 7.6418
angles: 90.00 90.00 90.00
Last column: nearest neighbours and their distance in Å.
Fractional coordinates of all 5 atoms:
In (0.0000, 0.0000, 0.0000)  4 Br 3.28
As (0.0000, 0.5000, 0.5000)  2 P 2.32
As (0.5000, 0.0000, 0.5000)  2 P 2.32
P (0.5000, 0.5000, 0.5000)  4 As 2.32
Br (0.5000, 0.5000, 0.0000)  4 In 3.28

## Properties
Symmetry: No. 123

Here is a relaxed structure of InAs2PBr from Alexandria via LeMat-Bulk. Energies are from PBE.

abc: 5.3718 5.3718 5.2944
angles: 90.00 90.00 90.00
Last column: nearest neighbours and their distance in Å.
Fractional coordinates of all 5 atoms:
In (0.0000, 0.0000, 0.0000)  2 Br 2.65, 4 As 2.69
As (0.0000, 0.5000, 0.0000)  2 In 2.69
As (0.5000, 0.0000, 0.0000)  2 In 2.69
P (0.5000, 0.5000, 0.5000)  8 As 3.77, 4 Br 3.80
Br (0.0000, 0.0000, 0.5000)  2 In 2.65

## Properties
Symmetry: No. 123

Here is a relaxed structure of InAsPbBr2 from Alexandria via LeMat-Bulk. Energies are from PBE.

abc: 5.9060 5.9060 5.6722
angles: 90.00 90.00 90.00
Last column: nearest neighbours and their distance in Å.
Fractional coordinates of all 5 atoms:
In (0.0000, 0.0000, 0.0000)  8 Br 4.09, 4 As 4.18
As (0.5000, 0.5000, 0.0000)  2 Pb 2.84
Pb (0.5000, 0.5000, 0.5000)  2 As 2.84, 4 Br 2.95
Br (0.0000, 0.5000, 0.5000)  2 Pb 2.95
Br (0.5000, 0.0000, 0.5000)  2 Pb 2.95

## Properties
Symmetry: No. 123

Here is a relaxed structure of InAs2PbBr from Alexandria via LeMat-Bulk. Energies are from PBE.

abc: 5.2416 5.2416 5.5269
angles: 90.00 90.00 90.00
Last column: nearest neighbours and their distance in Å.
Fractional coordinates of all 5 atoms:
In (0.0000, 0.0000, 0.0000)  4 As 2.62, 2 Br 2.76
As (0.0000, 0.5000, 0.0000)  2 In 2.62
As (0.5000, 0.0000, 0.0000)  2 In 2.62
Pb (0.5000, 0.5000, 0.5000)  4 Br 3.71, 8 As 3.81
Br (0.0000, 0.0000, 0.5000)  2 In 2.76

## Properties
Symmetry: No. 123

Here is a relaxed structure of RbInAs2Br from Alexandria via LeMat-Bulk. Energies are from PBE.

abc: 6.5359 6.5359 6.2904
angles: 90.00 90.00 90.00
Last column: nearest neighbours and their distance in Å.
Fractional coordinates of all 5 atoms:
Rb (0.0000, 0.0000, 0.0000)  2 Br 3.15, 4 As 3.27
In (0.5000, 0.5000, 0.5000)  8 As 4.54, 4 Br 4.62
As (0.0000, 0.5000, 0.0000)  2 Rb 3.27
As (0.5000, 0.0000, 0.0000)  2 Rb 3.27
Br (0.0000, 0.0000, 0.5000)  2 Rb 3.15

## Properties
Symmetry: No. 123

Here is a relaxed structure of RbInAs2Br from Alexandria via LeMat-Bulk. Energies are from PBE.

abc: 5.2796 5.2796 6.3220
angles: 90.00 90.00 90.00
Last column: nearest neighbours and their distance in Å.
Fractional coordinates of all 5 atoms:
Rb (0.0000, 0.0000, 0.0000)  4 Br 3.73, 8 As 4.12
In (0.5000, 0.5000, 0.5000)  4 As 2.64
As (0.0000, 0.5000, 0.5000)  2 In 2.64
As (0.5000, 0.0000, 0.5000)  2 In 2.64
Br (0.5000, 0.5000, 0.0000)  2 In 3.16

## Properties
Symmetry: No. 123

Here is a relaxed structure of InAs2RhBr from Alexandria via LeMat-Bulk. Energies are from PBE.

abc: 4.7709 4.7709 5.6798
angles: 90.00 90.00 90.00
Last column: nearest neighbours and their distance in Å.
Fractional coordinates of all 5 atoms:
In (0.0000, 0.0000, 0.0000)  4 Br 3.37, 8 As 3.71
As (0.0000, 0.5000, 0.5000)  2 Rh 2.39
As (0.5000, 0.0000, 0.5000)  2 Rh 2.39
Rh (0.5000, 0.5000, 0.5000)  4 As 2.39
Br (0.5000, 0.5000, 0.0000)  2 Rh 2.84

## Properties
Symmetry: No. 123

Here is a relaxed structure of InSb2AsBr from Alexandria via LeMat-Bulk. Energies are from PBE.

abc: 5.5287 5.5287 5.6907
angles: 90.00 90.00 90.00
Last column: nearest neighbours and their distance in Å.
Fractional coordinates of all 5 atoms:
In (0.0000, 0.0000, 0.0000)  2 Br 2.85
Sb (0.0000, 0.5000, 0.5000)  2 Br 2.76
Sb (0.5000, 0.0000, 0.5000)  2 Br 2.76
As (0.5000, 0.5000, 0.0000)  4 In 3.91, 8 Sb 3.97
Br (0.0000, 0.0000, 0.5000)  4 Sb 2.76, 2 In 2.85

## Properties
Symmetry: No. 123

Here is a relaxed structure of InSbAsBr2 from Alexandria via LeMat-Bulk. Energies are from PBE.

abc: 5.7391 5.7391 5.4060
angles: 90.00 90.00 90.00
Last column: nearest neighbours and their distance in Å.
Fractional coordinates of all 5 atoms:
In (0.0000, 0.0000, 0.0000)  8 Br 3.94, 4 As 4.06
Sb (0.5000, 0.5000, 0.5000)  2 As 2.70, 4 Br 2.87
As (0.5000, 0.5000, 0.0000)  2 Sb 2.70
Br (0.0000, 0.5000, 0.5000)  2 Sb 2.87
Br (0.5000, 0.0000, 0.5000)  2 Sb 2.87

## Properties
Symmetry: No. 123

Here is a relaxed structure of InSbAs2Br from Alexandria via LeMat-Bulk. Energies are from PBE.

abc: 5.3437 5.3437 5.8377
angles: 90.00 90.00 90.00
Last column: nearest neighbours and their distance in Å.
Fractional coordinates of all 5 atoms:
In (0.0000, 0.0000, 0.0000)  4 Br 3.78, 8 As 3.96
Sb (0.5000, 0.5000, 0.5000)  4 As 2.67, 2 Br 2.92
As (0.0000, 0.5000, 0.5000)  2 Sb 2.67
As (0.5000, 0.0000, 0.5000)  2 Sb 2.67
Br (0.5000, 0.5000, 0.0000)  2 Sb 2.92

## Properties
Symmetry: No. 123

Here is a relaxed structure of ScInAs2Br from Alexandria via LeMat-Bulk. Energies are from PBE.

abc: 5.1984 5.1984 5.3549
angles: 90.00 90.00 90.00
Last column: nearest neighbours and their distance in Å.
Fractional coordinates of all 5 atoms:
Sc (0.0000, 0.0000, 0.0000)  4 As 2.60, 2 Br 2.68
In (0.5000, 0.5000, 0.5000)  4 Br 3.68, 8 As 3.73
As (0.0000, 0.5000, 0.0000)  2 Sc 2.60
As (0.5000, 0.0000, 0.0000)  2 Sc 2.60
Br (0.0000, 0.0000, 0.5000)  2 Sc 2.68

## Properties
Symmetry: No. 123

Here is a relaxed structure of ScInAs2Br from Alexandria via LeMat-Bulk. Energies are from PBE.

abc: 5.1711 5.1711 5.3522
angles: 90.00 90.00 90.00
Last column: nearest neighbours and their distance in Å.
Fractional coordinates of all 5 atoms:
Sc (0.0000, 0.0000, 0.0000)  4 Br 3.66, 8 As 3.72
In (0.5000, 0.5000, 0.5000)  4 As 2.59, 2 Br 2.68
As (0.0000, 0.5000, 0.5000)  2 In 2.59
As (0.5000, 0.0000, 0.5000)  2 In 2.59
Br (0.5000, 0.5000, 0.0000)  2 In 2.68

## Properties
Symmetry: No. 123

How do the records compare in E_tot? In the order shown, they have -2.41 -4.01 -3.88 -2.73 -2.82 -2.89 -4.13 -3.57 -4.27 -3.25 -2.74 -2.75 -2.52 -3.84 -3.68 -2.66 -4.63 -3.43 -2.80 -2.93 -3.14 -2.20 -3.00 -4.05 -2.56 -2.96 -3.15 -4.26 -3.69 eV/atom.
How do the records compare in calculated volume? In the order shown, they have 231.8 146.1 195.1 173.3 160.5 141.6 140.3 160.1 143.4 138.4 171.6 175.9 176.4 117.9 119.0 160.0 129.6 164.7 152.8 197.8 151.8 268.7 176.2 129.3 173.9 178.1 166.7 144.7 143.1 Å³ per cell.